# 1
This record from the Alexandria database describes crystalline VTc2AgO8 at its relaxed geometry. The functional is PBE with a Hubbard U.

CIF file:
```
data_VTc2AgO8
_chemical_formula_sum 'V1 Tc2 Ag1 O8'
_symmetry_space_group_name_H-M 'P 1'
_symmetry_Int_Tables_number 1
_cell_length_a 5.8287
_cell_length_b 5.8287
_cell_length_c 6.4266
_cell_angle_alpha 90.00
_cell_angle_beta 90.00
_cell_angle_gamma 120.00
loop_
_symmetry_equiv_pos_as_xyz
'x,y,z'
loop_
_atom_site_label
_atom_site_type_symbol
_atom_site_fract_x
_atom_site_fract_y
_atom_site_fract_z
V1 V 0.0000 0.0000 0.0000
Tc1 Tc 0.3333 0.6667 0.2755
Tc2 Tc 0.6667 0.3333 0.7245
Ag1 Ag 0.0000 0.0000 0.5000
O1 O 0.1652 0.3303 0.1905
O2 O 0.1652 0.8348 0.1905
O3 O 0.3303 0.1652 0.8095
O4 O 0.3333 0.6667 0.5457
O5 O 0.6667 0.3333 0.4543
O6 O 0.6697 0.8348 0.1905
O7 O 0.8348 0.1652 0.8095
O8 O 0.8348 0.6697 0.8095
```

Properties
Total DFT energy (no corrections) ... -86.02 eV per cell
D(E_F) ... 4.3 states/eV/cell

---

# 2
This record from the Alexandria database describes crystalline TcAgWO6 at its relaxed geometry. The functional is PBE with a Hubbard U.

CIF file:
```
data_TcAgWO6
_chemical_formula_sum 'Tc2 Ag2 W2 O12'
_symmetry_space_group_name_H-M 'P 1'
_symmetry_Int_Tables_number 1
_cell_length_a 5.2700
_cell_length_b 5.2700
_cell_length_c 10.0259
_cell_angle_alpha 90.00
_cell_angle_beta 90.00
_cell_angle_gamma 120.00
loop_
_symmetry_equiv_pos_as_xyz
'x,y,z'
loop_
_atom_site_label
_atom_site_type_symbol
_atom_site_fract_x
_atom_site_fract_y
_atom_site_fract_z
Tc1 Tc 0.3333 0.6667 0.2500
Tc2 Tc 0.6667 0.3333 0.7500
Ag1 Ag 0.0000 0.0000 0.0000
Ag2 Ag 0.0000 0.0000 0.5000
W1 W 0.3333 0.6667 0.7500
W2 W 0.6667 0.3333 0.2500
O1 O 0.0045 0.3789 0.6424
O2 O 0.0045 0.6256 0.8576
O3 O 0.3744 0.3789 0.8576
O4 O 0.3744 0.9955 0.6424
O5 O 0.3789 0.0045 0.1424
O6 O 0.3789 0.3744 0.3576
O7 O 0.6211 0.6256 0.6424
O8 O 0.6211 0.9955 0.8576
O9 O 0.6256 0.0045 0.3576
O10 O 0.6256 0.6211 0.1424
O11 O 0.9955 0.3744 0.1424
O12 O 0.9955 0.6211 0.3576
```

Properties
Total DFT energy (no corrections) ... -124.19 eV per cell
D(E_F) ... 6.5 states/eV/cell